## one
IrOsW2, optimized geometry, DFT GGA-PBE; SG = Amm2 (38); total moment = 0.000 μB/atom
1.0
2.807 0.000 0.000
0.000 2.799 0.000
0.000 0.000 15.991
Ir Os W
2 2 4
direct
0.000 0.000 0.000
0.000 0.500 0.500
0.000 0.000 0.758
0.000 0.500 0.258
0.500 0.000 0.375
0.500 0.000 0.618
0.500 0.500 0.118
0.500 0.500 0.875



## two
IrOsW2, optimized geometry, DFT GGA-PBE; SG = I-42d (122); total moment = 0.000 μB/atom
1.0
5.764 0.000 0.000
0.000 5.764 0.000
0.000 0.000 11.039
Ir Os W
4 4 8
direct
0.000 0.000 0.000
0.000 0.500 0.250
0.500 0.000 0.750
0.500 0.500 0.500
0.000 0.000 0.500
0.000 0.500 0.750
0.500 0.000 0.250
0.500 0.500 0.000
0.250 0.250 0.125
0.250 0.250 0.625
0.250 0.750 0.375
0.250 0.750 0.875
0.750 0.250 0.375
0.750 0.250 0.875
0.750 0.750 0.125
0.750 0.750 0.625



The least stable of them is two.



## one
Li5B8C8, optimized geometry, DFT GGA-PBE; SG = C2/m (12); total moment = 0.000 μB/atom
1.0
7.277 -2.724 0.000
7.277 2.724 0.000
-0.010 0.000 4.699
Li B C
5 8 8
direct
0.000 0.000 0.000
0.000 0.500 0.500
0.250 0.250 0.001
0.500 0.000 0.500
0.750 0.750 0.999
0.123 0.620 0.831
0.127 0.127 0.667
0.375 0.375 0.331
0.380 0.877 0.169
0.620 0.123 0.831
0.625 0.625 0.669
0.873 0.873 0.333
0.877 0.380 0.169
0.120 0.621 0.169
0.130 0.130 0.329
0.368 0.368 0.668
0.379 0.880 0.831
0.621 0.120 0.169
0.632 0.632 0.332
0.870 0.870 0.671
0.880 0.379 0.831



## two
Li5B8C8, optimized geometry, DFT GGA-PBE; SG = Cm (8); total moment = 0.000 μB/atom
1.0
7.722 -1.349 0.000
7.722 1.349 0.000
-2.932 0.000 8.943
Li B C
5 8 8
direct
0.000 0.000 0.000
0.496 0.496 0.273
0.503 0.503 0.730
0.747 0.747 0.372
0.753 0.753 0.882
0.118 0.118 0.230
0.129 0.129 0.734
0.375 0.375 0.515
0.381 0.381 0.022
0.624 0.624 0.983
0.628 0.628 0.488
0.866 0.866 0.261
0.877 0.877 0.766
0.124 0.124 0.398
0.125 0.125 0.898
0.364 0.364 0.347
0.380 0.380 0.855
0.616 0.616 0.144
0.630 0.630 0.652
0.878 0.878 0.603
0.879 0.879 0.105



The least stable of them is one.



## one
Tb5PmSc2, optimized geometry, DFT GGA-PBE; SG = Pbam (55); total moment = 0.000 μB/atom
1.0
9.847 0.000 0.000
0.000 13.961 0.000
0.000 0.000 3.513
Tb Pm Sc
10 2 4
direct
0.000 0.000 0.000
0.001 0.249 0.000
0.248 0.874 0.500
0.252 0.374 0.500
0.499 0.749 0.000
0.500 0.500 0.000
0.501 0.251 0.000
0.748 0.626 0.500
0.752 0.126 0.500
0.999 0.751 0.000
0.000 0.500 0.000
0.500 0.000 0.000
0.249 0.126 0.500
0.251 0.626 0.500
0.749 0.374 0.500
0.751 0.874 0.500



## two
Tb5PmSc2, optimized geometry, DFT GGA-PBE; SG = I4/mcm (140); total moment = 0.020 μB/atom
1.0
-4.440 4.440 6.209
4.440 -4.440 6.209
4.440 4.440 -6.209
Tb Pm Sc
10 2 4
direct
0.000 0.000 0.000
0.008 0.508 0.201
0.193 0.992 0.500
0.307 0.807 0.799
0.492 0.693 0.500
0.500 0.500 0.000
0.508 0.307 0.500
0.693 0.193 0.201
0.807 0.008 0.500
0.992 0.492 0.799
0.250 0.250 0.000
0.750 0.750 0.000
0.145 0.355 0.500
0.355 0.855 0.210
0.645 0.145 0.790
0.855 0.645 0.500



The least stable of them is two.



## one
Sc2MnCr, optimized geometry, DFT GGA-PBE; SG = I-4m2 (119); total moment = 1.481 μB/atom
1.0
4.024 0.000 0.000
0.000 4.024 0.000
0.000 0.000 9.067
Sc Mn Cr
4 2 2
direct
0.000 0.000 0.000
0.000 0.500 0.250
0.500 0.000 0.750
0.500 0.500 0.500
0.000 0.000 0.500
0.500 0.500 0.000
0.000 0.500 0.750
0.500 0.000 0.250



## two
Sc2MnCr, optimized geometry, DFT GGA-PBE; SG = Pmmm (47); total moment = 1.238 μB/atom
1.0
3.243 0.000 0.000
0.000 3.370 0.000
0.000 0.000 6.427
Sc Mn Cr
2 1 1
direct
0.000 0.000 0.246
0.000 0.000 0.754
0.500 0.500 0.000
0.500 0.500 0.500



The least stable of them is one.



## one
PmMgZn, optimized geometry, DFT GGA-PBE; SG = F-43m (216); total moment = 0.127 μB/atom
1.0
6.814 0.000 0.000
0.000 6.814 0.000
0.000 0.000 6.814
Pm Mg Zn
4 4 4
direct
0.000 0.000 0.000
0.000 0.500 0.500
0.500 0.000 0.500
0.500 0.500 0.000
0.000 0.000 0.500
0.000 0.500 0.000
0.500 0.000 0.000
0.500 0.500 0.500
0.250 0.250 0.250
0.250 0.750 0.750
0.750 0.250 0.750
0.750 0.750 0.250



## two
PmMgZn, optimized geometry, DFT GGA-PBE; SG = P-1 (2); total moment = 0.000 μB/atom
1.0
3.413 0.000 0.000
-0.007 3.432 0.000
-0.020 -0.024 12.301
Pm Mg Zn
2 2 2
direct
0.250 0.249 0.219
0.750 0.751 0.781
0.250 0.250 0.581
0.750 0.750 0.419
0.251 0.251 0.944
0.749 0.749 0.056



The least stable of them is one.



## one
LiB2C2, optimized geometry, DFT GGA-PBE; SG = P312 (149); total moment = 0.000 μB/atom
1.0
4.686 0.000 0.000
-2.343 4.058 0.000
0.000 0.000 7.334
Li B C
3 6 6
direct
0.000 0.000 0.000
0.000 0.000 0.500
0.667 0.333 0.000
0.002 0.337 0.755
0.002 0.665 0.245
0.335 0.337 0.245
0.335 0.998 0.755
0.663 0.665 0.755
0.663 0.998 0.245
0.332 0.002 0.242
0.332 0.330 0.758
0.670 0.002 0.758
0.670 0.668 0.242
0.998 0.330 0.242
0.998 0.668 0.758



## two
LiB2C2, optimized geometry, DFT GGA-PBE; SG = Cm (8); total moment = 0.000 μB/atom
1.0
7.797 -1.344 0.000
7.797 1.344 0.000
-2.866 0.000 8.979
Li B C
4 8 8
direct
0.000 0.000 0.000
0.007 0.007 0.551
0.502 0.502 0.273
0.752 0.752 0.907
0.121 0.121 0.413
0.125 0.125 0.913
0.374 0.374 0.878
0.386 0.386 0.387
0.620 0.620 0.161
0.635 0.635 0.669
0.879 0.879 0.634
0.881 0.881 0.134
0.115 0.115 0.245
0.136 0.136 0.755
0.378 0.378 0.046
0.385 0.385 0.551
0.622 0.622 0.499
0.622 0.622 0.998
0.873 0.873 0.794
0.889 0.889 0.302



The least stable of them is two.